Entry 1:
This record from Alexandria via LeMat-Bulk describes crystalline Sr6GaN2 at its relaxed geometry. The functional is PBE-GGA. Values from VASP.

Quantum ESPRESSO input file:
```
&SYSTEM
  ibrav = 0, nat = 9, ntyp = 3
/
ATOMIC_SPECIES
Sr 87.62 Sr.upf
Ga 69.72 Ga.upf
N 14.01 N.upf
CELL_PARAMETERS angstrom
6.636 -2.695 0.000
6.636 2.695 0.000
-4.682 0.000 8.274
ATOMIC_POSITIONS angstrom
Sr -0.587 0.000 1.509
Sr -0.422 0.000 7.654
Sr 2.665 0.000 3.168
Sr 5.926 0.000 5.106
Sr 9.012 0.000 0.620
Sr 9.178 0.000 6.765
Ga -2.341 0.000 4.137
N 1.948 0.000 0.695
N 6.643 0.000 7.579
```

Properties
space-group type = C2/m
M_tot = 0.08 μB/atom
VASP energy = -33.3 eV per cell

***

Entry 2:
This record from Alexandria via LeMat-Bulk describes crystalline Sr6Ga5N at its relaxed geometry. The functional is PBE-GGA. Values from VASP.

Quantum ESPRESSO input file:
```
&SYSTEM
  ibrav = 0, nat = 24, ntyp = 3
/
ATOMIC_SPECIES
Sr 87.62 Sr.upf
Ga 69.72 Ga.upf
N 14.01 N.upf
CELL_PARAMETERS angstrom
3.801 2.195 13.544
-3.801 2.195 13.544
0.000 -4.389 13.544
ATOMIC_POSITIONS angstrom
Sr -2.209 0.734 15.010
Sr -1.592 -1.461 21.782
Sr -2.061 0.649 18.849
Sr 0.469 -2.280 15.010
Sr -1.740 -1.546 25.621
Sr 0.469 -2.110 18.849
Sr -0.469 2.110 21.782
Sr 1.740 1.546 15.010
Sr -0.469 2.280 25.621
Sr 2.061 -0.649 21.782
Sr 1.592 1.461 18.849
Sr 2.209 -0.734 25.621
Ga -1.592 0.000 10.158
Ga 0.000 0.000 7.905
Ga 0.796 -1.379 10.158
Ga 0.000 0.000 12.411
Ga 0.796 1.379 10.158
Ga -0.796 -1.379 30.474
Ga 0.000 0.000 28.221
Ga -0.796 1.379 30.474
Ga 0.000 0.000 32.726
Ga 1.592 0.000 30.474
N 0.000 0.000 0.000
N 0.000 0.000 20.316
```

Properties
space-group type = R-3c
M_tot = 0.00 μB/atom
VASP energy = -79.0 eV per cell

***

Entry 3:
This record from Alexandria via LeMat-Bulk describes crystalline Sr5Ga2N2 at its relaxed geometry. The functional is PBE-GGA. Values from VASP.

Quantum ESPRESSO input file:
```
&SYSTEM
  ibrav = 0, nat = 9, ntyp = 3
/
ATOMIC_SPECIES
Sr 87.62 Sr.upf
Ga 69.72 Ga.upf
N 14.01 N.upf
CELL_PARAMETERS angstrom
7.548 -2.579 0.000
7.548 2.579 0.000
-0.552 0.000 6.962
ATOMIC_POSITIONS angstrom
Sr 0.000 0.000 0.000
Sr 1.716 0.000 3.920
Sr 4.914 0.000 0.091
Sr 9.630 0.000 6.871
Sr 12.828 0.000 3.042
Ga 6.866 0.000 4.610
Ga 7.678 0.000 2.352
N 1.951 0.000 6.250
N 12.593 0.000 0.712
```

Properties
space-group type = C2/m
M_tot = 0.00 μB/atom
VASP energy = -34.9 eV per cell

***

Entry 4:
This record from Alexandria via LeMat-Bulk describes crystalline Sr4Ga2N at its relaxed geometry. The functional is PBE-GGA. Values from VASP.

Quantum ESPRESSO input file:
```
&SYSTEM
  ibrav = 0, nat = 14, ntyp = 3
/
ATOMIC_SPECIES
Sr 87.62 Sr.upf
Ga 69.72 Ga.upf
N 14.01 N.upf
CELL_PARAMETERS angstrom
15.525 0.000 0.000
0.000 4.149 0.000
-1.269 0.000 6.626
ATOMIC_POSITIONS angstrom
Sr 0.782 0.000 1.611
Sr 1.132 2.075 5.586
Sr 5.361 0.000 1.040
Sr 5.712 2.075 5.015
Sr 8.545 2.075 1.611
Sr 8.895 0.000 5.586
Sr 13.124 2.075 1.040
Sr 13.474 0.000 5.015
Ga 3.359 2.075 2.527
Ga 3.134 0.000 4.099
Ga 11.122 0.000 2.527
Ga 10.897 2.075 4.099
N 0.000 2.075 0.000
N 7.763 0.000 0.000
```

Properties
space-group type = C2/m
energy relative to the lowest polymorph listed for this composition = 0 meV/atom
M_tot = 0.00 μB/atom

***

Entry 5:
This record from Alexandria via LeMat-Bulk describes crystalline SrGa3N3 at its relaxed geometry. The functional is PBE-GGA. Values from VASP.

Quantum ESPRESSO input file:
```
&SYSTEM
  ibrav = 0, nat = 14, ntyp = 3
/
ATOMIC_SPECIES
Sr 87.62 Sr.upf
Ga 69.72 Ga.upf
N 14.01 N.upf
CELL_PARAMETERS angstrom
3.332 1.924 6.114
-3.332 1.924 6.114
0.000 -3.848 6.114
ATOMIC_POSITIONS angstrom
Sr 0.000 0.000 3.435
Sr 0.000 0.000 14.906
Ga 0.000 -1.822 6.963
Ga -1.578 0.911 6.963
Ga -1.578 -0.911 11.378
Ga 1.578 0.911 6.963
Ga 1.578 -0.911 11.378
Ga 0.000 1.822 11.378
N 0.000 -1.966 4.940
N -1.702 0.983 4.940
N -1.702 -0.983 13.401
N 1.702 0.983 4.940
N 1.702 -0.983 13.401
N 0.000 1.966 13.401
```

Properties
space-group type = R-3m
M_tot = 0.00 μB/atom
VASP energy = -73.7 eV per cell

***

Entry 6:
This record from Alexandria via LeMat-Bulk describes crystalline SrTa2GaN at its relaxed geometry. The functional is PBE-GGA. Values from VASP.

Quantum ESPRESSO input file:
```
&SYSTEM
  ibrav = 0, nat = 5, ntyp = 4
/
ATOMIC_SPECIES
Sr 87.62 Sr.upf
Ta 180.95 Ta.upf
Ga 69.72 Ga.upf
N 14.01 N.upf
CELL_PARAMETERS angstrom
4.263 0.000 0.000
0.000 4.263 0.000
0.000 0.000 5.082
ATOMIC_POSITIONS angstrom
Sr 0.000 0.000 0.000
Ta 0.000 2.131 2.541
Ta 2.131 0.000 2.541
Ga 2.131 2.131 0.000
N 0.000 0.000 2.541
```

Properties
space-group type = P4/mmm
M_tot = 0.00 μB/atom
VASP energy = -37.2 eV per cell